# 1
The following is a DFT calculation (PBE) of Rb2Cu2Hg after structural relaxation.

abc: 3.600 3.600 11.765
angles: 81.20 81.20 90.00
Element x y z (fractional)
Cu1 0.750 0.250 0.500
Cu2 0.250 0.750 0.500
Rb1 0.377 0.377 0.246
Rb2 0.623 0.623 0.754
Hg1 0.000 0.000 0.000

Values from the calculation:
As for the energy above the lowest structure with this stoichiometry: 0 meV/atom. Its symmetry is No. 139. The formation energy is 0.23 eV per atom. The value obtained for the total magnetization is 0.000 μB per atom.

---

# 2
The following is a DFT calculation (PBE) of TaSi5 after structural relaxation.

abc: 7.837 7.837 3.598
angles: 90.00 90.00 154.28
Element x y z (fractional)
Si1 0.356 0.644 0.000
Si2 0.473 0.527 0.500
Si3 0.765 0.235 0.500
Si4 0.662 0.338 0.000
Si5 0.974 0.026 0.000
Ta1 0.104 0.896 0.500

Values from the calculation:
As for the energy above the lowest structure with this stoichiometry: 16 meV/atom. Its symmetry is No. 38. The value obtained for the total magnetization is 0.000 μB per atom.

---

# 3
The following is a DFT calculation (PBE) of MgCo3I after structural relaxation.

abc: 4.600 4.600 4.600
angles: 90.00 90.00 90.00
Site moments in Bohr magnetons follow the coordinates.
Element x y z (fractional)
I1 0.000 0.000 0.000  -0.02
Mg1 0.500 0.500 0.500  -0.02
Co1 0.000 0.000 0.500  0.70
Co2 0.500 0.000 0.000  0.87
Co3 0.000 0.500 0.000  0.96

Values from the calculation:
As for the energy above the lowest structure with this stoichiometry: 0 meV/atom. Its symmetry is No. 221. The value obtained for the total magnetization is 0.446 μB per atom.

---

# 4
The following is a DFT calculation (PBE) of KNa4Ga after structural relaxation.

abc: 6.685 6.685 6.685
angles: 60.00 60.00 60.00
Element x y z (fractional)
Na1 0.627 0.627 0.118
Na2 0.627 0.118 0.627
Na3 0.627 0.627 0.627
Na4 0.118 0.627 0.627
K1 0.250 0.250 0.250
Ga1 0.000 0.000 0.000

Values from the calculation:
Its symmetry is No. 216. The formation energy is 0.14 eV per atom. The value obtained for the total magnetization is 0.000 μB per atom.